Entry from Alexandria via LeMat-Bulk: a relaxed AcSm8Er2 crystal (PBE).

## Properties
V in Å³ per atom: 35.560
Energy above the most stable polymorph in this dataset in meV/atom: 94
DOS(E_F) in states/eV per atom: 1.49
DFT formation energy in eV per formula unit: 1.36

a b c (Å): 19.6647 7.1158 5.6014
angles (deg): 90.00 93.53 90.00
Space group C2/m (No. 12)
Unique sites:
Ac  0.0000  0.0000  0.0000 [2 per cell]
Sm  0.0456  0.5000  0.2410 [4 per cell]
Sm  0.1365  0.2702  0.7287 [8 per cell]
Sm  0.1905  0.0000  0.2333 [4 per cell]
Er  0.2147  0.5000  0.2489 [4 per cell]